1.
A plane-wave DFT calculation with PBE was carried out for a relaxed structure of NaSnI2.

Unit cell a=8.8323 b=8.8681 c=9.4370 alpha=90.00 beta=108.81 gamma=90.00
Last column: nearest neighbours and their distance in Å.
Space group C2 (No. 5)
Asymmetric unit:
Na (0.0000, 0.0000, 0.0000) (multiplicity 2)  4 I 3.21-3.22
Na (0.0000, 0.4848, 0.0000) (multiplicity 2)  4 I 3.18-3.25, 2 Sn 3.38
Sn (0.0495, 0.4051, 0.3627) (multiplicity 4)  1 Sn 2.99, 3 I 3.09-3.34
I (0.2282, 0.1034, 0.3770) (multiplicity 4)  3 Sn 3.09-3.38
I (0.2321, 0.2393, 0.9190) (multiplicity 4)  4 Na 3.18-3.25, 1 Sn 3.34

Output
ΔE_f (raw) ... -0.654 eV per atom
Magnetization ... 0.0 μB/f.u.
Relative energy among the computed polymorphs ... 41 meV per atom
V ... 43.73 Å³ per atom

---

2.
A plane-wave DFT calculation with PBE was carried out for a relaxed structure of DyHo2Er6Pu.

Unit cell a=9.5726 b=13.8264 c=9.5163 alpha=90.00 beta=102.72 gamma=90.00
Last column: nearest neighbours and their distance in Å.
Space group C2/c (No. 15)
Asymmetric unit:
Dy (0.0000, 0.0375, 0.2500) (multiplicity 4)  4 Ho 3.26-3.35, 4 Er 3.37-3.51
Ho (0.2331, 0.0348, 0.5695) (multiplicity 8)  2 Dy 3.26-3.35, 7 Er 3.31-3.61, 1 Pu 3.32
Er (0.0694, 0.3954, 0.1015) (multiplicity 8)  2 Pu 3.26-3.29, 3 Ho 3.31-3.42, 5 Er 3.36-3.61
Er (0.0805, 0.1808, 0.9379) (multiplicity 8)  7 Er 3.36-3.73, 2 Ho 3.43-3.61, 1 Dy 3.51, 1 Pu 3.52
Er (0.2365, 0.2208, 0.3221) (multiplicity 8)  1 Pu 3.22, 4 Er 3.36-3.60, 1 Dy 3.37, 2 Ho 3.49-3.53
Pu (0.0000, 0.4002, 0.7500) (multiplicity 4)  8 Er 3.22-3.52, 2 Ho 3.32

Output
Calculated formation energy ... 0.1703 eV per atom
Magnetization ... 6.6 μB/f.u.
DOS at the Fermi energy ... 1.795 states/eV/atom
V ... 30.72 Å³ per atom

---

3.
A plane-wave DFT calculation with PBE was carried out for a relaxed structure of Ac2Zn6PdAu.

Unit cell a=6.9304 b=6.9304 c=9.7641 alpha=90.00 beta=90.00 gamma=90.00
Last column: nearest neighbours and their distance in Å.
Space group I4/mmm (No. 139)
Asymmetric unit:
Ac (0.0000, 0.5000, 0.2500) (multiplicity 4)  12 Zn 3.46-3.47
Zn (0.0000, 0.0000, 0.2465) (multiplicity 4)  1 Pd 2.41, 1 Au 2.47
Zn (0.2466, 0.2466, 0.0000) (multiplicity 8)  1 Pd 2.42, 1 Au 2.48
Pd (0.0000, 0.0000, 0.0000) (multiplicity 2)  6 Zn 2.41-2.42
Au (0.0000, 0.0000, 0.5000) (multiplicity 2)  6 Zn 2.47-2.48

Output
Calculated formation energy ... -0.2689 eV per atom
Magnetization ... 0.0 μB/f.u.
DOS at the Fermi energy ... 0.449 states/eV/atom
V ... 23.45 Å³ per atom